## Ca3ZrRe (PBE)

Data for a geometry-optimized Ca3ZrRe structure.

Structure (POSCAR):
```
Ca3ZrRe
1.0
-0.287 -1.251 -5.203
-1.045 -5.097 1.284
-5.248 1.083 0.029
Re Ca Zr
1 3 1
Direct
0.500 0.500 0.500
0.500 0.000 0.000
0.000 0.000 0.500
0.000 0.500 0.000
0.000 0.000 0.000
```

Output
ΔH_f (0 K)	2101	meV per atom

## CaZrRe2 (PBE)

Data for a geometry-optimized CaZrRe2 structure.

Structure (POSCAR):
```
CaZrRe2
1.0
-0.696 -4.035 -2.144
-0.837 -1.172 2.478
-5.997 1.240 -0.386
Re Ca Zr
2 1 1
Direct
0.000 0.526 0.444
0.000 0.974 0.056
0.500 0.750 0.750
0.500 0.250 0.250
```

Output
energy above the most stable polymorph in this dataset	25.9	kJ per mole of atoms
ΔH_f (0 K)	466	meV per atom

## Ca2ZrRe (PBE)

Data for a geometry-optimized Ca2ZrRe structure.

Structure (POSCAR):
```
Ca2ZrRe
1.0
-2.416 2.480 0.449
-2.397 -2.446 0.617
-0.473 -2.154 9.345
Zr Re Ca
1 1 2
Direct
0.500 0.821 0.678
0.000 0.458 0.542
0.000 0.038 0.962
0.500 0.183 0.318
```

Output
energy above the most stable polymorph in this dataset	0.0	kJ per mole of atoms
ΔH_f (0 K)	199	meV per atom

## Ca2ZrRe (PBE)

Data for a geometry-optimized Ca2ZrRe structure.

Structure (POSCAR):
```
Ca2ZrRe
1.0
4.152 0.000 0.000
0.000 4.162 0.000
0.000 0.000 5.281
Ca Re Zr
2 1 1
Direct
0.000 0.000 0.000
0.500 0.500 0.000
0.500 0.000 0.500
0.000 0.500 0.500
```

Output
energy above the most stable polymorph in this dataset	36.4	kJ per mole of atoms
ΔH_f (0 K)	576	meV per atom

## CaZr2Re (PBE)

Data for a geometry-optimized CaZr2Re structure.

Structure (POSCAR):
```
CaZr2Re
1.0
10.155 -0.002 -0.001
9.634 3.213 -0.001
9.634 1.563 2.807
Zr Re Ca
2 1 1
Direct
0.012 0.012 0.012
0.258 0.258 0.258
0.743 0.743 0.743
0.488 0.488 0.488
```

Output
energy above the most stable polymorph in this dataset	35.0	kJ per mole of atoms
ΔH_f (0 K)	403	meV per atom

## CaZrRe2 (PBE)

Data for a geometry-optimized CaZrRe2 structure.

Structure (POSCAR):
```
CaZrRe2
1.0
10.433 0.015 0.009
10.028 2.877 0.009
10.028 1.417 2.503
Zr Re Ca
1 2 1
Direct
0.250 0.250 0.250
0.501 0.501 0.501
0.999 0.999 0.999
0.750 0.750 0.750
```

Output
energy above the most stable polymorph in this dataset	47.2	kJ per mole of atoms
ΔH_f (0 K)	686	meV per atom

## CaZrRe2 (PBE)

Data for a geometry-optimized CaZrRe2 structure.

Structure (POSCAR):
```
CaZrRe2
1.0
-0.203 4.349 6.328
-4.498 -5.197 3.427
-0.109 -1.726 5.844
Re Ca Zr
4 2 2
Direct
0.643 0.125 0.250
0.107 0.625 0.250
0.875 0.893 0.750
0.375 0.357 0.750
0.250 0.750 0.500
0.500 0.500 0.000
0.000 0.000 0.000
0.750 0.250 0.500
```

Output
energy above the most stable polymorph in this dataset	87.0	kJ per mole of atoms
ΔH_f (0 K)	1099	meV per atom

## CaZrRe2 (PBE)

Data for a geometry-optimized CaZrRe2 structure.

Structure (POSCAR):
```
CaZrRe2
1.0
-5.466 0.672 -0.845
1.776 -5.198 -0.934
-0.468 -0.616 2.537
Zr Ca Re
1 1 2
Direct
0.500 0.000 0.500
0.000 0.500 0.500
0.000 0.000 0.000
0.500 0.500 0.000
```

Output
energy above the most stable polymorph in this dataset	40.2	kJ per mole of atoms
ΔH_f (0 K)	614	meV per atom

## Ca2ZrRe (PBE)

Data for a geometry-optimized Ca2ZrRe structure.

Structure (POSCAR):
```
Ca2ZrRe
1.0
11.131 -0.006 -0.003
10.691 3.101 -0.003
10.691 1.516 2.705
Zr Ca Re
1 2 1
Direct
0.750 0.750 0.750
0.991 0.991 0.991
0.509 0.509 0.509
0.250 0.250 0.250
```

Output
energy above the most stable polymorph in this dataset	54.6	kJ per mole of atoms
ΔH_f (0 K)	765	meV per atom

## CaZrRe2 (PBE)

Data for a geometry-optimized CaZrRe2 structure.

Structure (POSCAR):
```
CaZrRe2
1.0
3.285 0.000 0.000
0.000 4.744 0.000
0.000 0.000 4.695
Zr Ca Re
1 1 2
Direct
0.500 0.000 0.500
0.000 0.500 0.500
0.500 0.500 0.000
0.000 0.000 0.000
```

Output
energy above the most stable polymorph in this dataset	40.8	kJ per mole of atoms
ΔH_f (0 K)	620	meV per atom

## CaZrRe2 (PBE)

Data for a geometry-optimized CaZrRe2 structure.

Structure (POSCAR):
```
CaZrRe2
1.0
-2.422 1.514 -1.213
0.423 -1.481 -2.694
-5.388 -6.454 2.702
Re Zr Ca
2 1 1
Direct
0.500 0.500 0.213
0.000 0.000 0.056
0.000 0.000 0.434
0.500 0.500 0.798
```

Output
energy above the most stable polymorph in this dataset	0.0	kJ per mole of atoms
ΔH_f (0 K)	197	meV per atom

## Ca2ZrRe (PBE)

Data for a geometry-optimized Ca2ZrRe structure.

Structure (POSCAR):
```
Ca2ZrRe
1.0
10.592 0.000 0.000
0.000 10.592 0.000
5.296 5.296 2.468
Ca Re Zr
4 2 2
Direct
0.875 0.014 0.750
0.764 0.125 0.250
0.986 0.625 0.250
0.375 0.236 0.750
0.750 0.250 0.500
0.000 0.000 0.000
0.500 0.500 0.000
0.250 0.750 0.500
```

Output
energy above the most stable polymorph in this dataset	67.0	kJ per mole of atoms
ΔH_f (0 K)	893	meV per atom

Among the records above, which one has the highest ΔH_f (0 K)? Ca3ZrRe

Among the records above, which one has the highest ΔH_f (0 K)? Ca3ZrRe